# 1
DFT (PBE) results for a relaxed structure of ErAg3Ge3.

Lattice parameters (Å, degrees): 7.068 7.068 7.068 90.00 90.00 90.00
Element x y z (fractional)
Er 0.000 0.000 0.000
Er 0.500 0.500 0.500
Ag 0.000 0.250 0.500
Ag 0.000 0.750 0.500
Ag 0.250 0.500 0.000
Ag 0.500 0.000 0.250
Ag 0.500 0.000 0.750
Ag 0.750 0.500 0.000
Ge 0.000 0.500 0.250
Ge 0.000 0.500 0.750
Ge 0.250 0.000 0.500
Ge 0.500 0.250 0.000
Ge 0.500 0.750 0.000
Ge 0.750 0.000 0.500

Properties
- formation energy from the elements (kcal/mol of atoms) = 10.157
- space group = No. 223



# 2
DFT (PBE) results for a relaxed structure of HoErAgGe.

Lattice parameters (Å, degrees): 5.048 5.048 5.048 60.00 60.00 60.00
Element x y z (fractional)
Ho 0.000 0.000 0.000
Er 0.500 0.500 0.500
Ag 0.250 0.250 0.250
Ge 0.750 0.750 0.750

Properties
- formation energy from the elements (kcal/mol of atoms) = -12.001
- space group = No. 216



# 3
DFT (PBE) results for a relaxed structure of LaErAgGe.

Lattice parameters (Å, degrees): 5.205 5.205 5.205 60.00 60.00 60.00
Element x y z (fractional)
La 0.000 0.000 0.000
Er 0.500 0.500 0.500
Ag 0.250 0.250 0.250
Ge 0.750 0.750 0.750

Properties
- formation energy from the elements (kcal/mol of atoms) = -11.730
- space group = No. 216



- Which of these has the lowest formation energy from the elements?
  HoErAgGe